[1]
CuGeTe2 | Alexandria via LeMat-Bulk | GGA-PBE | relaxed; volume = 30.0 Å³ per atom; symmetry = I-42d (122); uncorrected energy = -3.731 eV/atom
1.0
-4.096 -0.100 4.655
-4.549 -1.236 -4.029
-3.323 -6.791 1.062
Ge Te Cu
2 4 2
Direct
0.000 0.000 0.000
0.750 0.250 0.500
0.594 0.125 0.250
0.156 0.625 0.250
0.375 0.406 0.750
0.875 0.844 0.750
0.500 0.500 0.000
0.250 0.750 0.500


[2]
BHRu | Alexandria via LeMat-Bulk | GGA-PBE | relaxed; volume = 7.9 Å³ per atom; distance to the lowest polymorph of the same formula = 112 meV per atom; symmetry = Amm2 (38)
1.0
-1.095 1.241 2.323
0.003 -9.843 5.257
2.743 0.538 1.006
B H Ru
4 4 4
Direct
0.500 0.295 0.850
0.500 0.705 0.850
0.500 0.795 0.350
0.500 0.205 0.350
0.000 0.000 0.244
0.000 0.500 0.744
0.500 0.000 0.806
0.500 0.500 0.306
0.000 0.128 0.852
0.000 0.872 0.852
0.000 0.628 0.352
0.000 0.372 0.352


[3]
Pm2TaMnN5 | Alexandria via LeMat-Bulk | GGA-PBE | relaxed; volume = 12.9 Å³ per atom; symmetry = Cmc2_1 (36); uncorrected energy = -9.055 eV/atom
1.0
-2.632 1.386 -1.354
-2.634 -2.889 6.110
1.989 8.577 4.913
Pm Ta Mn N
4 2 2 10
Direct
0.871 0.742 0.823
0.119 0.237 0.691
0.129 0.258 0.323
0.881 0.763 0.191
0.794 0.589 0.522
0.206 0.411 0.022
0.548 0.096 0.944
0.452 0.904 0.444
0.341 0.683 0.006
0.678 0.356 0.880
0.500 0.000 0.784
0.300 0.599 0.657
0.964 0.929 0.517
0.659 0.317 0.506
0.322 0.644 0.380
0.500 0.000 0.284
0.700 0.401 0.157
0.036 0.071 0.017


Which DOS(E_F) belongs to each record? In order, 8.73; 3.01; 5.70 states/eV per cell.
Which total magnetization belongs to each record? In order, 0.000; 0.000; 0.120 μB/atom.